CdAs4Ru (PBE, optimized geometry); N(E_F) = 0.60 states/eV per atom; electronic total energy = -24.57 eV per formula unit; SG = No. 216
1.0
0.000 3.893 3.893
3.893 0.000 3.893
3.893 3.893 0.000
Cd As Ru
1 4 1
Direct
0.000 0.000 0.000
0.375 0.375 0.375
0.375 0.375 0.874
0.375 0.874 0.375
0.874 0.375 0.375
0.750 0.750 0.750